The following is a PBE-GGA calculation of crystalline La5MgSc2 at its relaxed geometry, from Alexandria via LeMat-Bulk.

Output
The energy of formation from the pure elements comes out at 0.90 kcal/mol of atoms.

Structure (CIF):
```
data_La5MgSc2
_chemical_formula_sum 'La5 Mg1 Sc2'
_cell_length_a 7.086
_cell_length_b 7.086
_cell_length_c 7.086
_cell_angle_alpha 119.21
_cell_angle_beta 119.21
_cell_angle_gamma 91.38
_space_group_name_H-M_alt 'P 1'
_space_group_IT_number 1
loop_
_space_group_symop_operation_xyz
'x,y,z'
loop_
_atom_site_label
_atom_site_type_symbol
_atom_site_fract_x
_atom_site_fract_y
_atom_site_fract_z
La1 La 0.000 0.000 0.000
La2 La 0.496 0.496 0.520
La3 La 0.496 0.976 0.000
La4 La 0.976 0.496 0.000
La5 La 0.976 0.976 0.480
Mg1 Mg 0.478 0.478 0.000
Sc1 Sc 0.488 0.988 0.500
Sc2 Sc 0.988 0.488 0.500
```